[1]
! PBE KZrTeAuSe2, optimized geometry; values from VASP
! Energy above the most stable polymorph in this dataset in eV/f.u.: 0.000
! Space group: P2_1/m (11)
! Calculated volume in Å³/cell: 335
&SYSTEM
  ibrav = 0, nat = 12, ntyp = 5
/
ATOMIC_SPECIES
Au 196.97 Au.upf
Zr 91.22 Zr.upf
Se 78.96 Se.upf
Te 127.60 Te.upf
K 39.10 K.upf
ATOMIC_POSITIONS crystal
Au 0.919 0.750 0.892
Au 0.081 0.250 0.108
Zr 0.312 0.750 0.338
Zr 0.688 0.250 0.662
Se 0.550 0.250 0.377
Se 0.896 0.750 0.638
Se 0.450 0.750 0.623
Se 0.104 0.250 0.362
Te 0.716 0.250 0.945
Te 0.284 0.750 0.055
K 0.764 0.750 0.244
K 0.236 0.250 0.756
CELL_PARAMETERS angstrom
-5.667 -4.096 -4.895
2.315 -3.289 0.072
-2.133 -1.278 10.179


[2]
! PBE KZrTeAuSe2, optimized geometry; values from VASP
! Energy above the most stable polymorph in this dataset in eV/f.u.: 0.392
! Space group: P2_1/m (11)
! Calculated volume in Å³/cell: 346
&SYSTEM
  ibrav = 0, nat = 12, ntyp = 5
/
ATOMIC_SPECIES
Te 127.60 Te.upf
K 39.10 K.upf
Zr 91.22 Zr.upf
Se 78.96 Se.upf
Au 196.97 Au.upf
ATOMIC_POSITIONS crystal
Te 0.562 0.250 0.371
Te 0.438 0.750 0.629
K 0.760 0.750 0.203
K 0.240 0.250 0.797
Zr 0.708 0.250 0.680
Zr 0.292 0.750 0.320
Se 0.901 0.750 0.646
Se 0.732 0.250 0.938
Se 0.268 0.750 0.062
Se 0.099 0.250 0.354
Au 0.919 0.750 0.895
Au 0.081 0.250 0.105
CELL_PARAMETERS angstrom
8.632 0.000 0.000
0.000 4.070 0.000
-3.846 0.000 9.847


[3]
! PBE KZrTeAuSe2, optimized geometry; values from VASP
! Energy above the most stable polymorph in this dataset in eV/f.u.: 0.365
! Space group: Cmcm (63)
! Calculated volume in Å³/cell: 342
&SYSTEM
  ibrav = 0, nat = 12, ntyp = 5
/
ATOMIC_SPECIES
Au 196.97 Au.upf
Se 78.96 Se.upf
K 39.10 K.upf
Te 127.60 Te.upf
Zr 91.22 Zr.upf
ATOMIC_POSITIONS crystal
Au 0.535 0.465 0.250
Au 0.465 0.535 0.750
Se 0.617 0.383 0.044
Se 0.617 0.383 0.456
Se 0.383 0.617 0.956
Se 0.383 0.617 0.544
K 0.777 0.223 0.750
K 0.223 0.777 0.250
Te 0.913 0.087 0.250
Te 0.087 0.913 0.750
Zr 0.000 0.000 0.500
Zr 0.000 0.000 0.000
CELL_PARAMETERS angstrom
1.993 -7.933 0.000
1.993 7.933 0.000
0.000 0.000 10.826


[4]
! PBE KThAuSe3, optimized geometry; values from VASP
! E_tot in eV per atom: -5.00
! Space group: Cmcm (63)
! Calculated volume in Å³/cell: 350
&SYSTEM
  ibrav = 0, nat = 12, ntyp = 4
/
ATOMIC_SPECIES
Se 78.96 Se.upf
Th 232.04 Th.upf
Au 196.97 Au.upf
K 39.10 K.upf
ATOMIC_POSITIONS crystal
Se 0.868 0.132 0.550
Se 0.424 0.576 0.250
Se 0.576 0.424 0.750
Se 0.132 0.868 0.050
Se 0.868 0.132 0.950
Se 0.132 0.868 0.450
Th 0.500 0.500 0.000
Th 0.500 0.500 0.500
Au 0.964 0.036 0.750
Au 0.036 0.964 0.250
K 0.253 0.747 0.750
K 0.747 0.253 0.250
CELL_PARAMETERS angstrom
2.144 -7.437 0.000
2.144 7.437 0.000
0.000 0.000 10.975


[5]
! PBE KTmAuSe3, optimized geometry; values from VASP
! E_tot in eV per atom: -4.32
! Space group: Cmcm (63)
! Calculated volume in Å³/cell: 330
&SYSTEM
  ibrav = 0, nat = 12, ntyp = 4
/
ATOMIC_SPECIES
Se 78.96 Se.upf
Au 196.97 Au.upf
K 39.10 K.upf
Tm 168.93 Tm.upf
ATOMIC_POSITIONS crystal
Se 0.872 0.128 0.047
Se 0.872 0.128 0.453
Se 0.128 0.872 0.547
Se 0.128 0.872 0.953
Se 0.577 0.423 0.250
Se 0.423 0.577 0.750
Au 0.034 0.966 0.750
Au 0.966 0.034 0.250
K 0.256 0.744 0.250
K 0.744 0.256 0.750
Tm 0.500 0.500 0.000
Tm 0.500 0.500 0.500
CELL_PARAMETERS angstrom
-5.456 4.000 -4.213
2.257 -3.725 6.674
3.733 9.126 3.831


[6]
! PBE KYAuSe3, optimized geometry; values from VASP
! Energy above the most stable polymorph in this dataset in eV/f.u.: 0.071
! Space group: Pnma (62)
! Calculated volume in Å³/cell: 693
&SYSTEM
  ibrav = 0, nat = 24, ntyp = 4
/
ATOMIC_SPECIES
Se 78.96 Se.upf
Au 196.97 Au.upf
K 39.10 K.upf
Y 88.91 Y.upf
ATOMIC_POSITIONS crystal
Se 0.140 0.250 0.242
Se 0.597 0.750 0.576
Se 0.906 0.750 0.380
Se 0.594 0.250 0.880
Se 0.094 0.250 0.620
Se 0.360 0.750 0.742
Se 0.860 0.750 0.758
Se 0.903 0.250 0.076
Se 0.403 0.250 0.424
Se 0.406 0.750 0.120
Se 0.097 0.750 0.924
Se 0.640 0.250 0.258
Au 0.512 0.250 0.105
Au 0.988 0.750 0.605
Au 0.488 0.750 0.895
Au 0.012 0.250 0.395
K 0.235 0.750 0.452
K 0.265 0.250 0.952
K 0.765 0.250 0.548
K 0.735 0.750 0.048
Y 0.979 0.250 0.841
Y 0.479 0.250 0.659
Y 0.521 0.750 0.341
Y 0.021 0.750 0.159
CELL_PARAMETERS angstrom
-7.490 9.464 9.405
-3.317 -2.411 -0.216
3.619 -5.757 8.675


Copy entry 1 word for word.
! PBE KZrTeAuSe2, optimized geometry; values from VASP
! Energy above the most stable polymorph in this dataset in eV/f.u.: 0.000
! Space group: P2_1/m (11)
! Calculated volume in Å³/cell: 335
&SYSTEM
  ibrav = 0, nat = 12, ntyp = 5
/
ATOMIC_SPECIES
Au 196.97 Au.upf
Zr 91.22 Zr.upf
Se 78.96 Se.upf
Te 127.60 Te.upf
K 39.10 K.upf
ATOMIC_POSITIONS crystal
Au 0.919 0.750 0.892
Au 0.081 0.250 0.108
Zr 0.312 0.750 0.338
Zr 0.688 0.250 0.662
Se 0.550 0.250 0.377
Se 0.896 0.750 0.638
Se 0.450 0.750 0.623
Se 0.104 0.250 0.362
Te 0.716 0.250 0.945
Te 0.284 0.750 0.055
K 0.764 0.750 0.244
K 0.236 0.250 0.756
CELL_PARAMETERS angstrom
-5.667 -4.096 -4.895
2.315 -3.289 0.072
-2.133 -1.278 10.179